(1)
Density functional theory data (PBE) for crystalline Be3Nb3B2 at its relaxed geometry.

Results
Energy of formation from the pure elements in meV/atom: -477

The structure in CIF format:
```
data_Be3Nb3B2
_cell_length_a 3.253
_cell_length_b 8.852
_cell_length_c 12.363
_cell_angle_alpha 90.00
_cell_angle_beta 90.00
_cell_angle_gamma 90.00
_space_group_name_H-M_alt 'C m c m'
_space_group_IT_number 63
_space_group_name_Hall '-C 2c 2'
loop_
_atom_site_label
_atom_site_fract_x
_atom_site_fract_y
_atom_site_fract_z
Be1 0.000 0.076 0.058
Be2 0.000 0.220 0.750
Nb1 0.000 0.065 0.250
Nb2 0.000 0.355 0.090
B1 0.000 0.354 0.618
```

***

(2)
Density functional theory data (PBE) for crystalline TbNpIr2 at its relaxed geometry.

Results
Energy of formation from the pure elements in meV/atom: -488
Energy above the lowest structure with this stoichiometry in meV per atom: 0.0

The structure in CIF format:
```
data_TbNpIr2
_cell_length_a 3.409
_cell_length_b 3.409
_cell_length_c 6.985
_cell_angle_alpha 90.00
_cell_angle_beta 90.00
_cell_angle_gamma 90.00
_space_group_name_H-M_alt 'P 4/m m m'
_space_group_IT_number 123
_space_group_name_Hall '-P 4 2'
loop_
_atom_site_label
_atom_site_fract_x
_atom_site_fract_y
_atom_site_fract_z
Tb1 0.000 0.000 0.000
Np1 0.000 0.000 0.500
Ir1 0.500 0.500 0.266
```

***

(3)
Density functional theory data (PBE) for crystalline Pm2ScI at its relaxed geometry.

Results
Energy above the lowest structure with this stoichiometry in meV per atom: 0.0
Formation energy without anion corrections in kJ per mole of atoms: -33.36

The structure in CIF format:
```
data_Pm2ScI
_cell_length_a 3.7577
_cell_length_b 3.7577
_cell_length_c 31.0087
_cell_angle_alpha 90.00
_cell_angle_beta 90.00
_cell_angle_gamma 120.00
_space_group_name_H-M_alt 'R 3 m'
_space_group_IT_number 160
_space_group_name_Hall 'R 3 -2"'
loop_
_atom_site_label
_atom_site_fract_x
_atom_site_fract_y
_atom_site_fract_z
Pm1 0.0000 0.0000 0.0000
Pm2 0.0000 0.0000 0.1612
Sc1 0.0000 0.0000 0.5803
I1 0.0000 0.0000 0.7473
```

***

(4)
Density functional theory data (PBE) for crystalline Pm3CoHg at its relaxed geometry.

Results
Energy of formation from the pure elements in meV/atom: -236
Energy above the lowest structure with this stoichiometry in meV per atom: 0.0

The structure in CIF format:
```
data_Pm3CoHg
_cell_length_a 16.428
_cell_length_b 3.781
_cell_length_c 10.786
_cell_angle_alpha 90.00
_cell_angle_beta 125.84
_cell_angle_gamma 90.00
_space_group_name_H-M_alt 'C 1 2/m 1'
_space_group_IT_number 12
_space_group_name_Hall '-C 2y'
loop_
_atom_site_label
_atom_site_fract_x
_atom_site_fract_y
_atom_site_fract_z
Pm1 0.087 0.000 0.458
Pm2 0.142 0.500 0.212
Pm3 0.167 0.500 0.804
Co1 0.237 0.500 0.551
Hg1 0.065 0.000 0.918
```

***

(5)
Density functional theory data (PBE) for crystalline MgTlAgI4 at its relaxed geometry.

Results
Formation energy without anion corrections in kJ per mole of atoms: -64.64

The structure in CIF format:
```
data_MgTlAgI4
_cell_length_a 7.023
_cell_length_b 9.660
_cell_length_c 9.160
_cell_angle_alpha 90.00
_cell_angle_beta 99.82
_cell_angle_gamma 90.00
_space_group_name_H-M_alt 'P 1 21/m 1'
_space_group_IT_number 11
_space_group_name_Hall '-P 2yb'
loop_
_atom_site_label
_atom_site_fract_x
_atom_site_fract_y
_atom_site_fract_z
Mg1 0.234 0.250 0.307
Tl1 0.136 0.750 0.061
Ag1 0.298 0.750 0.690
I1 0.028 0.533 0.736
I2 0.395 0.250 0.049
I3 0.491 0.750 0.445
```

***

(6)
Density functional theory data (PBE) for crystalline Ca2ScSb at its relaxed geometry.

Results
Formation energy without anion corrections in kJ per mole of atoms: -40.92

The structure in CIF format:
```
data_Ca2ScSb
_cell_length_a 4.066
_cell_length_b 5.270
_cell_length_c 11.400
_cell_angle_alpha 90.00
_cell_angle_beta 90.00
_cell_angle_gamma 90.00
_space_group_name_H-M_alt 'I m m 2'
_space_group_IT_number 44
_space_group_name_Hall 'I 2 -2'
loop_
_atom_site_label
_atom_site_fract_x
_atom_site_fract_y
_atom_site_fract_z
Ca1 0.000 0.000 0.000
Ca2 0.000 0.500 0.210
Sc1 0.000 0.000 0.417
Sb1 0.000 0.500 0.732
```

***

(7)
Density functional theory data (PBE) for crystalline NpPbS at its relaxed geometry.

Results
Formation energy without anion corrections in kJ per mole of atoms: -37.07

The structure in CIF format:
```
data_NpPbS
_cell_length_a 3.5270
_cell_length_b 3.5270
_cell_length_c 13.6069
_cell_angle_alpha 90.00
_cell_angle_beta 90.00
_cell_angle_gamma 120.00
_space_group_name_H-M_alt 'P -3 m 1'
_space_group_IT_number 164
_space_group_name_Hall '-P 3 2"'
loop_
_atom_site_label
_atom_site_fract_x
_atom_site_fract_y
_atom_site_fract_z
Np1 0.3333 0.6667 0.0514
Pb1 0.0000 0.0000 0.3714
S1 0.3333 0.6667 0.8134
```

***

(8)
Density functional theory data (PBE) for crystalline RuC at its relaxed geometry.

Results
Energy of formation from the pure elements in meV/atom: 908
Energy above the lowest structure with this stoichiometry in meV per atom: 542.2

The structure in CIF format:
```
data_RuC
_cell_length_a 3.207
_cell_length_b 6.031
_cell_length_c 4.828
_cell_angle_alpha 90.00
_cell_angle_beta 90.00
_cell_angle_gamma 90.00
_space_group_name_H-M_alt 'C m c m'
_space_group_IT_number 63
_space_group_name_Hall '-C 2c 2'
loop_
_atom_site_label
_atom_site_fract_x
_atom_site_fract_y
_atom_site_fract_z
Ru1 0.000 0.134 0.250
C1 0.000 0.456 0.250
```

***

(9)
Density functional theory data (PBE) for crystalline CsRb2BiF at its relaxed geometry.

Results
Energy above the lowest structure with this stoichiometry in meV per atom: 635.7
Formation energy without anion corrections in kJ per mole of atoms: -55.22

The structure in CIF format:
```
data_CsRb2BiF
_cell_length_a 7.624
_cell_length_b 7.624
_cell_length_c 4.913
_cell_angle_alpha 90.00
_cell_angle_beta 90.00
_cell_angle_gamma 90.00
_space_group_name_H-M_alt 'P 4/m m m'
_space_group_IT_number 123
_space_group_name_Hall '-P 4 2'
loop_
_atom_site_label
_atom_site_fract_x
_atom_site_fract_y
_atom_site_fract_z
Cs1 0.000 0.000 0.000
Rb1 0.000 0.500 0.500
Bi1 0.500 0.500 0.500
F1 0.500 0.500 0.000
```

***

(10)
Density functional theory data (PBE) for crystalline PuThCoNi at its relaxed geometry.

Results
Energy of formation from the pure elements in meV/atom: -88

The structure in CIF format:
```
data_PuThCoNi
_cell_length_a 6.810
_cell_length_b 6.810
_cell_length_c 6.810
_cell_angle_alpha 90.00
_cell_angle_beta 90.00
_cell_angle_gamma 90.00
_space_group_name_H-M_alt 'F -4 3 m'
_space_group_IT_number 216
_space_group_name_Hall 'F -4 2 3'
loop_
_atom_site_label
_atom_site_fract_x
_atom_site_fract_y
_atom_site_fract_z
Pu1 0.000 0.000 0.000
Th1 0.000 0.000 0.500
Co1 0.250 0.250 0.750
Ni1 0.250 0.250 0.250
```

***

(11)
Density functional theory data (PBE) for crystalline Hf2NbTc at its relaxed geometry.

Results
Energy of formation from the pure elements in meV/atom: 404
Energy above the lowest structure with this stoichiometry in meV per atom: 618.4

The structure in CIF format:
```
data_Hf2NbTc
_cell_length_a 7.446
_cell_length_b 7.446
_cell_length_c 5.761
_cell_angle_alpha 90.00
_cell_angle_beta 90.00
_cell_angle_gamma 90.00
_space_group_name_H-M_alt 'I -4 2 d'
_space_group_IT_number 122
_space_group_name_Hall 'I -4 2bw'
loop_
_atom_site_label
_atom_site_fract_x
_atom_site_fract_y
_atom_site_fract_z
Hf1 0.221 0.250 0.125
Nb1 0.000 0.000 0.500
Tc1 0.000 0.000 0.000
```

***

(12)
Density functional theory data (PBE) for crystalline Ac2CuHg at its relaxed geometry.

Results
Energy of formation from the pure elements in meV/atom: -260
Energy above the lowest structure with this stoichiometry in meV per atom: 20.2

The structure in CIF format:
```
data_Ac2CuHg
_cell_length_a 7.894
_cell_length_b 7.894
_cell_length_c 7.894
_cell_angle_alpha 90.00
_cell_angle_beta 90.00
_cell_angle_gamma 90.00
_space_group_name_H-M_alt 'F m -3 m'
_space_group_IT_number 225
_space_group_name_Hall '-F 4 2 3'
loop_
_atom_site_label
_atom_site_fract_x
_atom_site_fract_y
_atom_site_fract_z
Ac1 0.250 0.250 0.250
Cu1 0.000 0.000 0.000
Hg1 0.000 0.000 0.500
```

***

no.,VASP energy (eV per atom)
1,-7.319
2,-9.312
3,-4.692
4,-4.567
5,-2.529
6,-4.038
7,-7.310
8,-8.342
9,-2.281
10,-8.748
11,-9.682
12,-3.414